Rb2CoAuO4: optimized geometry, PBE with a Hubbard U.

Cell lengths 11.834, 10.463, 6.785 Å; angles 83.74, 61.51, 34.75 degrees
Element x y z (fractional)
Rb  0.054  0.054  0.696
Rb  0.304  0.304  0.946
Rb  0.696  0.696  0.054
Rb  0.946  0.946  0.304
Co  0.375  0.375  0.375
Co  0.625  0.625  0.625
Au  0.125  0.125  0.125
Au  0.875  0.875  0.875
O  0.035  0.632  0.523
O  0.310  0.523  0.632
O  0.368  0.965  0.690
O  0.477  0.690  0.965
O  0.523  0.310  0.035
O  0.632  0.035  0.310
O  0.690  0.477  0.368
O  0.965  0.368  0.477

Properties
The magnetic moment comes out at 0.754 μB per atom. For the density of states at the Fermi level, the calculation gives 2.61 states/eV/cell. The calculated total energy comes out at -71.13 eV for the cell shown.